[1]
Below is a relaxed Ge3BTe crystal, with properties calculated at the PBE level. Values from VASP.

Structure (Quantum ESPRESSO input):
```
&SYSTEM
  ibrav = 0, nat = 5, ntyp = 3
/
ATOMIC_SPECIES
Ge 72.64 Ge.upf
B 10.81 B.upf
Te 127.60 Te.upf
CELL_PARAMETERS angstrom
5.429 0.000 0.000
0.000 5.429 0.000
0.000 0.000 5.429
ATOMIC_POSITIONS crystal
Ge 0.000 0.000 0.500
Ge 0.000 0.500 0.000
Ge 0.500 0.000 0.000
B 0.500 0.500 0.500
Te 0.000 0.000 0.000
```

## Properties
E_form (uncorrected)   1.86 eV per atom
SG   No. 221



[2]
Below is a relaxed CaIn7Pb12 crystal, with properties calculated at the PBE level. Values from VASP.

Structure (Quantum ESPRESSO input):
```
&SYSTEM
  ibrav = 0, nat = 20, ntyp = 3
/
ATOMIC_SPECIES
Ca 40.08 Ca.upf
In 114.82 In.upf
Pb 207.20 Pb.upf
CELL_PARAMETERS angstrom
6.845 3.952 3.700
-6.845 3.952 3.700
0.000 -7.904 3.700
ATOMIC_POSITIONS crystal
Ca 0.000 0.000 0.000
In 0.094 0.094 0.678
In 0.094 0.678 0.094
In 0.322 0.906 0.906
In 0.500 0.500 0.500
In 0.678 0.094 0.094
In 0.906 0.322 0.906
In 0.906 0.906 0.322
Pb 0.085 0.338 0.338
Pb 0.241 0.500 0.759
Pb 0.241 0.759 0.500
Pb 0.338 0.085 0.338
Pb 0.338 0.338 0.085
Pb 0.500 0.241 0.759
Pb 0.500 0.759 0.241
Pb 0.662 0.662 0.915
Pb 0.662 0.915 0.662
Pb 0.759 0.241 0.500
Pb 0.759 0.500 0.241
Pb 0.915 0.662 0.662
```

## Properties
DFT formation energy   -0.0166 eV/atom
SG   No. 166



[3]
Below is a relaxed H2PbF4 crystal, with properties calculated at the PBE level. Values from VASP.

Structure (Quantum ESPRESSO input):
```
&SYSTEM
  ibrav = 0, nat = 7, ntyp = 3
/
ATOMIC_SPECIES
H 1.01 H.upf
Pb 207.20 Pb.upf
F 19.00 F.upf
CELL_PARAMETERS angstrom
-2.384 2.384 5.025
2.384 -2.384 5.025
2.384 2.384 -5.025
ATOMIC_POSITIONS crystal
H 0.136 0.136 0.000
H 0.864 0.864 0.000
Pb 0.500 0.500 0.000
F 0.000 0.500 0.500
F 0.230 0.230 0.000
F 0.500 0.000 0.500
F 0.770 0.770 0.000
```

## Properties
Uncorrected energy   -30.3 eV per cell
SG   No. 139



[4]
Below is a relaxed CdCu3Bi crystal, with properties calculated at the PBE level. Values from VASP.

Structure (Quantum ESPRESSO input):
```
&SYSTEM
  ibrav = 0, nat = 5, ntyp = 3
/
ATOMIC_SPECIES
Cd 112.41 Cd.upf
Cu 63.55 Cu.upf
Bi 208.98 Bi.upf
CELL_PARAMETERS angstrom
5.058 0.000 0.000
0.000 5.058 0.000
0.000 0.000 5.058
ATOMIC_POSITIONS crystal
Cd 0.000 0.000 0.000
Cu 0.000 0.500 0.500
Cu 0.500 0.000 0.500
Cu 0.500 0.500 0.000
Bi 0.500 0.500 0.500
```

## Properties
DFT formation energy   0.7222 eV/atom
SG   No. 221



[5]
Below is a relaxed TlPd2Pb crystal, with properties calculated at the PBE level. Values from VASP.

Structure (Quantum ESPRESSO input):
```
&SYSTEM
  ibrav = 0, nat = 8, ntyp = 3
/
ATOMIC_SPECIES
Tl 204.38 Tl.upf
Pd 106.42 Pd.upf
Pb 207.20 Pb.upf
CELL_PARAMETERS angstrom
6.350 -2.679 0.000
6.350 2.679 0.000
-2.334 0.000 4.988
ATOMIC_POSITIONS crystal
Tl 0.159 0.159 0.455
Tl 0.841 0.841 0.545
Pd 0.082 0.082 0.885
Pd 0.419 0.419 0.719
Pd 0.581 0.581 0.281
Pd 0.918 0.918 0.115
Pb 0.340 0.340 0.137
Pb 0.660 0.660 0.863
```

## Properties
DFT formation energy   -0.1635 eV/atom
SG   No. 12



[6]
Below is a relaxed ZnB3Se crystal, with properties calculated at the PBE level. Values from VASP.

Structure (Quantum ESPRESSO input):
```
&SYSTEM
  ibrav = 0, nat = 5, ntyp = 3
/
ATOMIC_SPECIES
Zn 65.41 Zn.upf
B 10.81 B.upf
Se 78.96 Se.upf
CELL_PARAMETERS angstrom
4.124 0.000 0.000
0.000 4.124 0.000
0.000 0.000 4.124
ATOMIC_POSITIONS crystal
Zn 0.000 0.000 0.000
B 0.000 0.000 0.500
B 0.000 0.500 0.000
B 0.500 0.000 0.000
Se 0.500 0.500 0.500
```

## Properties
E_form (uncorrected)   1.86 eV per atom
SG   No. 221



[7]
Below is a relaxed AcPrGeI crystal, with properties calculated at the PBE level. Values from VASP.

Structure (Quantum ESPRESSO input):
```
&SYSTEM
  ibrav = 0, nat = 4, ntyp = 4
/
ATOMIC_SPECIES
Ac 227.00 Ac.upf
Pr 140.91 Pr.upf
Ge 72.64 Ge.upf
I 126.90 I.upf
CELL_PARAMETERS angstrom
2.224 1.284 8.165
-2.224 1.284 8.165
0.000 -2.568 8.165
ATOMIC_POSITIONS crystal
Ac 0.000 0.000 0.000
Pr 0.800 0.800 0.800
Ge 0.405 0.405 0.405
I 0.228 0.228 0.228
```

## Properties
E_form (uncorrected)   -1.00 eV per atom
SG   No. 160



[8]
Below is a relaxed Ac2ScS5 crystal, with properties calculated at the PBE level. Values from VASP.

Structure (Quantum ESPRESSO input):
```
&SYSTEM
  ibrav = 0, nat = 16, ntyp = 3
/
ATOMIC_SPECIES
Ac 227.00 Ac.upf
Sc 44.96 Sc.upf
S 32.06 S.upf
CELL_PARAMETERS angstrom
2.774 -7.253 0.000
2.774 7.253 0.000
0.000 0.000 12.856
ATOMIC_POSITIONS crystal
Ac 0.143 0.857 0.567
Ac 0.143 0.857 0.933
Ac 0.857 0.143 0.067
Ac 0.857 0.143 0.433
Sc 0.199 0.801 0.250
Sc 0.801 0.199 0.750
S 0.051 0.949 0.141
S 0.051 0.949 0.359
S 0.266 0.734 0.750
S 0.298 0.702 0.086
S 0.298 0.702 0.414
S 0.702 0.298 0.586
S 0.702 0.298 0.914
S 0.734 0.266 0.250
S 0.949 0.051 0.641
S 0.949 0.051 0.859
```

## Properties
E_form (uncorrected)   -1.76 eV per atom
SG   No. 63



[9]
Below is a relaxed Ni2GeBiAs crystal, with properties calculated at the PBE level. Values from VASP.

Structure (Quantum ESPRESSO input):
```
&SYSTEM
  ibrav = 0, nat = 5, ntyp = 4
/
ATOMIC_SPECIES
Ni 58.69 Ni.upf
Ge 72.64 Ge.upf
Bi 208.98 Bi.upf
As 74.92 As.upf
CELL_PARAMETERS angstrom
4.777 0.000 0.000
0.000 4.777 0.000
0.000 0.000 5.478
ATOMIC_POSITIONS crystal
Ni 0.000 0.500 0.000
Ni 0.500 0.000 0.000
Ge 0.000 0.000 0.500
Bi 0.000 0.000 0.000
As 0.500 0.500 0.500
```

## Properties
DFT formation energy   1.2225 eV/atom
SG   No. 123



[10]
Below is a relaxed LaInCo2Hg crystal, with properties calculated at the PBE level. Values from VASP.

Structure (Quantum ESPRESSO input):
```
&SYSTEM
  ibrav = 0, nat = 5, ntyp = 4
/
ATOMIC_SPECIES
La 138.91 La.upf
In 114.82 In.upf
Co 58.93 Co.upf
Hg 200.59 Hg.upf
CELL_PARAMETERS angstrom
4.854 0.000 0.000
0.000 4.854 0.000
0.000 0.000 5.927
ATOMIC_POSITIONS crystal
La 0.000 0.000 0.000
In 0.000 0.000 0.500
Co 0.000 0.500 0.500
Co 0.500 0.000 0.500
Hg 0.500 0.500 0.000
```

## Properties
DFT formation energy   0.8910 eV/atom
SG   No. 123



[11]
Below is a relaxed BeTlAu2 crystal, with properties calculated at the PBE level. Values from VASP.

Structure (Quantum ESPRESSO input):
```
&SYSTEM
  ibrav = 0, nat = 8, ntyp = 3
/
ATOMIC_SPECIES
Be 9.01 Be.upf
Tl 204.38 Tl.upf
Au 196.97 Au.upf
CELL_PARAMETERS angstrom
-3.740 3.740 2.802
3.740 -3.740 2.802
3.740 3.740 -2.802
ATOMIC_POSITIONS crystal
Be 0.000 0.000 0.000
Be 0.750 0.250 0.500
Tl 0.250 0.750 0.500
Tl 0.500 0.500 0.000
Au 0.032 0.625 0.907
Au 0.375 0.282 0.407
Au 0.718 0.125 0.093
Au 0.875 0.968 0.593
```

## Properties
DFT formation energy   0.0935 eV/atom
SG   No. 122



[12]
Below is a relaxed Ga4HgRh5 crystal, with properties calculated at the PBE level. Values from VASP.

Structure (Quantum ESPRESSO input):
```
&SYSTEM
  ibrav = 0, nat = 10, ntyp = 3
/
ATOMIC_SPECIES
Ga 69.72 Ga.upf
Hg 200.59 Hg.upf
Rh 102.91 Rh.upf
CELL_PARAMETERS angstrom
3.032 0.000 0.000
0.000 3.032 0.000
0.000 0.000 15.968
ATOMIC_POSITIONS crystal
Ga 0.000 0.000 0.096
Ga 0.000 0.000 0.289
Ga 0.000 0.000 0.711
Ga 0.000 0.000 0.904
Hg 0.000 0.000 0.500
Rh 0.500 0.500 0.000
Rh 0.500 0.500 0.188
Rh 0.500 0.500 0.375
Rh 0.500 0.500 0.625
Rh 0.500 0.500 0.812
```

## Properties
DFT formation energy   -0.5624 eV/atom
SG   No. 123



[13]
Below is a relaxed HfScPt4 crystal, with properties calculated at the PBE level. Values from VASP.

Structure (Quantum ESPRESSO input):
```
&SYSTEM
  ibrav = 0, nat = 6, ntyp = 3
/
ATOMIC_SPECIES
Hf 178.49 Hf.upf
Sc 44.96 Sc.upf
Pt 195.08 Pt.upf
CELL_PARAMETERS angstrom
4.684 -1.916 0.000
4.684 1.916 0.000
-1.946 0.000 5.695
ATOMIC_POSITIONS crystal
Hf 0.000 0.000 0.000
Sc 0.000 0.000 0.500
Pt 0.337 0.337 0.167
Pt 0.338 0.338 0.671
Pt 0.662 0.662 0.329
Pt 0.663 0.663 0.833
```

## Properties
DFT formation energy   -1.0076 eV/atom
SG   No. 12



[14]
Below is a relaxed Pu2NpS6 crystal, with properties calculated at the PBE level. Values from VASP.

Structure (Quantum ESPRESSO input):
```
&SYSTEM
  ibrav = 0, nat = 18, ntyp = 3
/
ATOMIC_SPECIES
Pu 244.00 Pu.upf
Np 237.00 Np.upf
S 32.06 S.upf
CELL_PARAMETERS angstrom
6.222 0.000 0.000
0.000 6.222 0.000
0.000 0.000 12.400
ATOMIC_POSITIONS crystal
Pu 0.000 0.000 0.166
Pu 0.000 0.000 0.834
Pu 0.500 0.500 0.334
Pu 0.500 0.500 0.666
Np 0.000 0.000 0.500
Np 0.500 0.500 0.000
S 0.191 0.191 0.337
S 0.191 0.191 0.663
S 0.196 0.196 0.000
S 0.304 0.696 0.500
S 0.309 0.691 0.163
S 0.309 0.691 0.837
S 0.691 0.309 0.163
S 0.691 0.309 0.837
S 0.696 0.304 0.500
S 0.804 0.804 0.000
S 0.809 0.809 0.337
S 0.809 0.809 0.663
```

## Properties
E_form (uncorrected)   -1.23 eV per atom
SG   No. 136



[15]
Below is a relaxed MnFe2Pd crystal, with properties calculated at the PBE level. Values from VASP.

Structure (Quantum ESPRESSO input):
```
&SYSTEM
  ibrav = 0, nat = 8, ntyp = 3
/
ATOMIC_SPECIES
Mn 54.94 Mn.upf
Fe 55.84 Fe.upf
Pd 106.42 Pd.upf
CELL_PARAMETERS angstrom
-3.322 3.322 2.512
3.322 -3.322 2.512
3.322 3.322 -2.512
ATOMIC_POSITIONS crystal
Mn 0.000 0.000 0.000
Mn 0.750 0.250 0.500
Fe 0.099 0.125 0.474
Fe 0.375 0.901 0.026
Fe 0.651 0.625 0.526
Fe 0.875 0.349 0.974
Pd 0.250 0.750 0.500
Pd 0.500 0.500 0.000
```

## Properties
DFT formation energy   0.6618 eV/atom
SG   No. 122



[16]
Below is a relaxed LiCrTc2 crystal, with properties calculated at the PBE level. Values from VASP.

Structure (Quantum ESPRESSO input):
```
&SYSTEM
  ibrav = 0, nat = 4, ntyp = 3
/
ATOMIC_SPECIES
Li 6.94 Li.upf
Cr 52.00 Cr.upf
Tc 98.00 Tc.upf
CELL_PARAMETERS angstrom
2.630 0.000 0.000
0.000 2.630 0.000
0.000 0.000 8.289
ATOMIC_POSITIONS crystal
Li 0.000 0.000 0.000
Cr 0.500 0.500 0.730
Tc 0.000 0.000 0.511
Tc 0.500 0.500 0.266
```

## Properties
DFT formation energy   0.4257 eV/atom
SG   No. 99



[17]
Below is a relaxed Tl2ZnNi crystal, with properties calculated at the PBE level. Values from VASP.

Structure (Quantum ESPRESSO input):
```
&SYSTEM
  ibrav = 0, nat = 4, ntyp = 3
/
ATOMIC_SPECIES
Tl 204.38 Tl.upf
Zn 65.41 Zn.upf
Ni 58.69 Ni.upf
CELL_PARAMETERS angstrom
3.991 0.000 0.000
0.000 3.998 0.000
-1.862 0.000 5.162
ATOMIC_POSITIONS crystal
Tl 0.000 0.000 0.000
Tl 0.295 0.500 0.598
Zn 0.586 0.500 0.175
Ni 0.731 0.000 0.453
```

## Properties
DFT formation energy   0.1875 eV/atom
SG   No. 6



[18]
Below is a relaxed Ti3Nb2C4 crystal, with properties calculated at the PBE level. Values from VASP.

Structure (Quantum ESPRESSO input):
```
&SYSTEM
  ibrav = 0, nat = 9, ntyp = 3
/
ATOMIC_SPECIES
Ti 47.87 Ti.upf
Nb 92.91 Nb.upf
C 12.01 C.upf
CELL_PARAMETERS angstrom
5.122 -1.562 0.000
5.122 1.562 0.000
-3.684 0.000 6.619
ATOMIC_POSITIONS crystal
Ti 0.000 0.000 0.000
Ti 0.207 0.207 0.813
Ti 0.793 0.793 0.187
Nb 0.396 0.396 0.611
Nb 0.604 0.604 0.389
C 0.200 0.200 0.297
C 0.398 0.398 0.100
C 0.602 0.602 0.900
C 0.800 0.800 0.703
```

## Properties
DFT formation energy   -0.7212 eV/atom
SG   No. 12



[19]
Below is a relaxed Y14TmTh crystal, with properties calculated at the PBE level. Values from VASP.

Structure (Quantum ESPRESSO input):
```
&SYSTEM
  ibrav = 0, nat = 16, ntyp = 3
/
ATOMIC_SPECIES
Y 88.91 Y.upf
Tm 168.93 Tm.upf
Th 232.04 Th.upf
CELL_PARAMETERS angstrom
7.146 0.000 0.000
0.000 7.146 0.000
0.000 0.000 10.074
ATOMIC_POSITIONS crystal
Y 0.000 0.000 0.000
Y 0.000 0.500 0.000
Y 0.000 0.500 0.500
Y 0.248 0.248 0.253
Y 0.248 0.248 0.747
Y 0.248 0.752 0.253
Y 0.248 0.752 0.747
Y 0.500 0.000 0.000
Y 0.500 0.000 0.500
Y 0.500 0.500 0.000
Y 0.752 0.248 0.253
Y 0.752 0.248 0.747
Y 0.752 0.752 0.253
Y 0.752 0.752 0.747
Tm 0.500 0.500 0.500
Th 0.000 0.000 0.500
```

## Properties
DFT formation energy   0.0239 eV/atom
SG   No. 123



[20]
Below is a relaxed ThCl crystal, with properties calculated at the PBE level. Values from VASP.

Structure (Quantum ESPRESSO input):
```
&SYSTEM
  ibrav = 0, nat = 4, ntyp = 2
/
ATOMIC_SPECIES
Th 232.04 Th.upf
Cl 35.45 Cl.upf
CELL_PARAMETERS angstrom
3.605 0.000 0.000
-1.802 3.122 0.000
0.000 0.000 10.060
ATOMIC_POSITIONS crystal
Th 0.333 0.667 0.000
Th 0.667 0.333 0.500
Cl 0.333 0.667 0.715
Cl 0.667 0.333 0.215
```

## Properties
E_form (uncorrected)   -0.95 eV per atom
SG   No. 186



[21]
Below is a relaxed CeNdGdGa crystal, with properties calculated at the PBE level. Values from VASP.

Structure (Quantum ESPRESSO input):
```
&SYSTEM
  ibrav = 0, nat = 4, ntyp = 4
/
ATOMIC_SPECIES
Ce 140.12 Ce.upf
Nd 144.24 Nd.upf
Gd 157.25 Gd.upf
Ga 69.72 Ga.upf
CELL_PARAMETERS angstrom
0.000 3.751 3.751
3.751 0.000 3.751
3.751 3.751 0.000
ATOMIC_POSITIONS crystal
Ce 0.000 0.000 0.000
Nd 0.750 0.750 0.750
Gd 0.250 0.250 0.250
Ga 0.500 0.500 0.500
```

## Properties
DFT formation energy   -0.0521 eV/atom
SG   No. 216



[22]
Below is a relaxed IrW4Au crystal, with properties calculated at the PBE level. Values from VASP.

Structure (Quantum ESPRESSO input):
```
&SYSTEM
  ibrav = 0, nat = 6, ntyp = 3
/
ATOMIC_SPECIES
Ir 192.22 Ir.upf
W 183.84 W.upf
Au 196.97 Au.upf
CELL_PARAMETERS angstrom
0.000 3.702 3.702
3.702 0.000 3.702
3.702 3.702 0.000
ATOMIC_POSITIONS crystal
Ir 0.000 0.000 0.000
W 0.129 0.624 0.624
W 0.624 0.129 0.624
W 0.624 0.624 0.129
W 0.624 0.624 0.624
Au 0.250 0.250 0.250
```

## Properties
DFT formation energy   0.5456 eV/atom
SG   No. 216



[23]
Below is a relaxed MgTiCd crystal, with properties calculated at the PBE level. Values from VASP.

Structure (Quantum ESPRESSO input):
```
&SYSTEM
  ibrav = 0, nat = 6, ntyp = 3
/
ATOMIC_SPECIES
Mg 24.30 Mg.upf
Ti 47.87 Ti.upf
Cd 112.41 Cd.upf
CELL_PARAMETERS angstrom
4.585 0.000 0.000
-2.293 3.971 0.000
0.000 0.000 10.926
ATOMIC_POSITIONS crystal
Mg 0.333 0.667 0.250
Mg 0.667 0.333 0.750
Ti 0.000 0.000 0.000
Ti 0.000 0.000 0.500
Cd 0.000 0.000 0.250
Cd 0.000 0.000 0.750
```

## Properties
DFT formation energy   1.2115 eV/atom
SG   No. 194



[24]
Below is a relaxed KSn5Cl11 crystal, with properties calculated at the PBE level. Values from VASP.

Structure (Quantum ESPRESSO input):
```
&SYSTEM
  ibrav = 0, nat = 17, ntyp = 3
/
ATOMIC_SPECIES
K 39.10 K.upf
Sn 118.71 Sn.upf
Cl 35.45 Cl.upf
CELL_PARAMETERS angstrom
4.557 -7.543 0.000
4.557 7.543 0.000
-2.416 0.000 8.889
ATOMIC_POSITIONS crystal
K 0.000 0.000 0.000
Sn 0.061 0.358 0.654
Sn 0.358 0.061 0.654
Sn 0.500 0.500 0.000
Sn 0.642 0.939 0.346
Sn 0.939 0.642 0.346
Cl 0.000 0.000 0.500
Cl 0.131 0.384 0.952
Cl 0.137 0.701 0.676
Cl 0.299 0.863 0.324
Cl 0.384 0.131 0.952
Cl 0.418 0.418 0.675
Cl 0.582 0.582 0.325
Cl 0.616 0.869 0.048
Cl 0.701 0.137 0.676
Cl 0.863 0.299 0.324
Cl 0.869 0.616 0.048
```

## Properties
E_form (uncorrected)   -1.08 eV per atom
SG   No. 12